Compound: Rb2P2Se5
Source: Alexandria via LeMat-Bulk
Functional: GGA-PBE
Structure: relaxed

Geometry as POSCAR:
```
Rb2P2Se5
1.0
-2.025 1.656 4.430
3.866 -6.051 1.042
5.934 6.509 0.280
Rb P Se
2 2 5
direct
0.413 0.826 0.672
0.587 0.174 0.328
0.156 0.312 0.906
0.844 0.688 0.094
0.332 0.663 0.017
0.668 0.337 0.983
0.114 0.229 0.646
0.886 0.771 0.354
0.000 0.000 0.000
```

Computed properties:
volume	32.9	Å³/atom
total moment	0.00	μB per formula unit
formation energy without anion corrections	-0.434	eV per atom
VASP energy	-34.08	eV/f.u.